First-principles (GGA-PBE) data for an optimized crystal structure of CoOsRh2, as listed in Alexandria via LeMat-Bulk.

Calculated values
density: 13.5 g/cm3
volume: 56.0 Å³/cell
N(E_F): 6.757 states/eV/f.u.
space-group type: No. 123
ΔE_f: 0.37 eV/atom

a b c (Å): 4.560 4.560 2.693
angles (deg): 90.00 90.00 90.00
Fractional coordinates of all 4 atoms:
Rh  0.500  0.500  0.000
Rh  0.000  0.000  0.000
Os  0.000  0.500  0.500
Co  0.500  0.000  0.500



First-principles (GGA-PBE) data for an optimized crystal structure of ScBP2C, as listed in Alexandria via LeMat-Bulk.

Calculated values
density: 2.9 g/cm3
volume: 75.2 Å³/cell
N(E_F): 1.370 states/eV/f.u.
space-group type: No. 1
ΔE_f: -0.14 eV/atom

a b c (Å): 3.303 4.438 5.787
angles (deg): 80.50 73.21 68.06
Fractional coordinates of all 5 atoms:
P  0.519  0.613  0.473
P  0.686  0.681  0.068
Sc  0.066  0.128  0.856
C  0.663  0.213  0.581
B  0.859  0.864  0.539



First-principles (GGA-PBE) data for an optimized crystal structure of Ca4ZnPt, as listed in Alexandria via LeMat-Bulk.

Calculated values
density: 3.9 g/cm3
volume: 362.9 Å³/cell
N(E_F): 3.659 states/eV/f.u.
space-group type: No. 15
ΔE_f: -0.45 eV/atom

a b c (Å): 6.657 8.294 8.294
angles (deg): 110.91 107.47 107.47
Fractional coordinates of all 12 atoms:
Ca  0.914  0.055  0.710
Ca  0.283  0.771  0.646
Ca  0.717  0.229  0.354
Ca  0.783  0.646  0.771
Ca  0.086  0.945  0.290
Ca  0.414  0.710  0.055
Ca  0.217  0.354  0.229
Ca  0.586  0.290  0.945
Zn  0.750  0.636  0.364
Zn  0.250  0.364  0.636
Pt  0.250  0.998  0.002
Pt  0.750  0.002  0.998



> What is the ΔE_f in the first record?

0.37 eV/atom